A relaxed structure of PmLuRh, computed with PBE.

Unit cell a=4.0351 b=4.0351 c=6.1348 alpha=90.00 beta=90.00 gamma=120.00
Atoms (fractional coordinates):
Pm 0.0000 0.0000 0.0000
Lu 0.6667 0.3333 0.5193
Rh 0.3333 0.6667 0.7418

## Properties
As for the energy above the lowest structure with this stoichiometry: 67.4 meV per atom. The formation energy comes out at -488 meV per atom.